Gd2AlZn3Ni2 after structural relaxation, computed with PBE.

Values from the calculation:
Uncorrected energy (eV per atom): -3.967
Total magnetization (μB per formula unit): 0.0

The structure in CIF format:
```
data_Gd2AlZn3Ni2
_symmetry_space_group_name_H-M 'C 1 m 1'
_symmetry_Int_Tables_number 8
_symmetry_space_group_name_Hall 'C -2y'
_cell_length_a 9.591
_cell_length_b 4.072
_cell_length_c 7.144
_cell_angle_alpha 90.00
_cell_angle_beta 90.06
_cell_angle_gamma 90.00
loop_
_atom_site_label
_atom_site_type_symbol
_atom_site_fract_x
_atom_site_fract_y
_atom_site_fract_z
_atom_site_occupancy
Gd1 Gd 0.000 0.000 0.000 1
Gd2 Gd 0.126 0.000 0.492 1
Al1 Al 0.409 0.000 0.692 1
Zn1 Zn 0.209 0.500 0.805 1
Zn2 Zn 0.215 0.500 0.194 1
Zn3 Zn 0.413 0.000 0.304 1
Ni1 Ni 0.288 0.000 0.996 1
Ni2 Ni 0.346 0.500 0.506 1
```